# 1
{
  "formula": "Nd3Dy3In2",
  "functional": "GGA-PBE",
  "state": "optimized geometry",
  "lattice": [[4.8898, 0.0000, 0.0000], [0.0000, 4.9102, 0.0000], [0.0000, 0.0000, 9.9085]],
  "species": ["Dy", "Dy", "In", "Nd", "Nd", "In", "Nd", "Dy"],
  "fractional_positions": [[0.5000, 0.5000, 0.7520], [0.5000, 0.0000, 0.0000], [0.0000, 0.0000, 0.2463], [0.0000, 0.5000, 0.5000], [0.5000, 0.0000, 0.5000], [0.0000, 0.0000, 0.7537], [0.0000, 0.5000, 0.0000], [0.5000, 0.5000, 0.2480]],
  "magmom_total_mub_per_cell": 0.01,
  "density_g_cm3": 8.03,
  "sg": "Pmmm",
  "formation_enthalpy_0k_ev_per_atom": -0.266,
  "dos_at_fermi_per_ev_atom": 1.5618
}

# 2
{
  "formula": "NaSr6Pb5",
  "functional": "GGA-PBE",
  "state": "optimized geometry",
  "lattice": [[5.5808, -0.0323, 1.8598], [0.0418, 8.0268, 0.0139], [-0.0558, -0.0161, 9.4705]],
  "species": ["Sr", "Sr", "Pb", "Sr", "Sr", "Pb", "Pb", "Pb", "Sr", "Na", "Sr", "Pb"],
  "fractional_positions": [[0.8261, 0.2476, 0.3477], [0.1739, 0.7524, 0.6523], [0.6519, 0.0000, 0.6962], [0.5000, 0.7403, 0.0000], [0.1739, 0.2476, 0.6523], [0.3379, 0.5000, 0.3242], [0.3481, 0.0000, 0.3038], [0.6621, 0.5000, 0.6758], [0.8261, 0.7524, 0.3477], [0.0000, 0.0000, 0.0000], [0.5000, 0.2597, 0.0000], [0.0000, 0.5000, 0.0000]],
  "magmom_total_mub_per_cell": 0.00,
  "density_g_cm3": 6.19,
  "sg": "Cmmm",
  "formation_enthalpy_0k_ev_per_atom": -0.486,
  "dos_at_fermi_per_ev_atom": 0.4285
}

# 3
{
  "formula": "Ti3RuF",
  "functional": "GGA-PBE",
  "state": "optimized geometry",
  "lattice": [[4.7570, 0.0000, 0.0000], [0.0000, 4.7570, 0.0000], [0.0000, 0.0000, 4.7570]],
  "species": ["Ru", "F", "Ti", "Ti", "Ti"],
  "fractional_positions": [[0.0000, 0.0000, 0.0000], [0.5000, 0.5000, 0.5000], [0.0000, 0.5000, 0.0000], [0.5000, 0.0000, 0.0000], [0.0000, 0.0000, 0.5000]],
  "magmom_total_mub_per_cell": 2.59,
  "density_g_cm3": 4.07,
  "sg": "Pm-3m",
  "dos_at_fermi_per_ev_atom": 0.8177,
  "energy_ev_per_atom": -6.73
}

# 4
{
  "formula": "Hg4PAu",
  "functional": "GGA-PBE",
  "state": "optimized geometry",
  "lattice": [[-1.3595, -2.1532, 5.2266], [-4.1214, 2.5495, 3.2119], [-5.1093, -2.6529, 0.8117]],
  "species": ["Hg", "P", "Hg", "Hg", "Hg", "Au"],
  "fractional_positions": [[0.3749, 0.8752, 0.3749], [0.7500, 0.7500, 0.7500], [0.3749, 0.3749, 0.8752], [0.8752, 0.3749, 0.3749], [0.3749, 0.3749, 0.3749], [0.0000, 0.0000, 0.0000]],
  "magmom_total_mub_per_cell": 0.00,
  "density_g_cm3": 12.31,
  "sg": "F-43m",
  "formation_enthalpy_0k_ev_per_atom": 0.625,
  "dos_at_fermi_per_ev_atom": 0.8170
}

# 5
{
  "formula": "Cd2CuGe2",
  "functional": "GGA-PBE",
  "state": "optimized geometry",
  "lattice": [[4.3308, 0.0000, 0.0000], [0.0000, 4.3308, 0.0000], [2.1654, 2.1654, 5.8962]],
  "species": ["Ge", "Ge", "Cd", "Cd", "Cu"],
  "fractional_positions": [[0.3982, 0.3982, 0.2035], [0.6018, 0.6018, 0.7965], [0.7500, 0.2500, 0.5000], [0.2500, 0.7500, 0.5000], [0.0000, 0.0000, 0.0000]],
  "magmom_total_mub_per_cell": 0.00,
  "density_g_cm3": 6.51,
  "sg": "I4/mmm",
  "formation_enthalpy_0k_ev_per_atom": 0.475,
  "dos_at_fermi_per_ev_atom": 0.3383
}

# 6
{
  "formula": "RbHgRhF6",
  "functional": "GGA-PBE",
  "state": "optimized geometry",
  "lattice": [[-5.2715, -2.4957, -1.3226], [-0.7317, -2.8818, -5.1891], [1.6702, -4.8328, 2.4513]],
  "species": ["F", "F", "F", "F", "Rb", "Rh", "F", "F", "Hg"],
  "fractional_positions": [[0.0458, 0.6096, 0.6915], [0.6087, 0.3450, 0.6920], [0.0466, 0.3443, 0.3081], [0.3444, 0.0466, 0.6919], [0.9999, 0.0000, 0.0000], [0.3333, 0.3334, 0.5000], [0.3449, 0.6087, 0.3080], [0.6096, 0.0458, 0.3085], [0.6665, 0.6665, 0.5000]],
  "magmom_total_mub_per_cell": 0.13,
  "density_g_cm3": 4.76,
  "sg": "P312",
  "energy_ev_per_atom": -4.05
}

# 7
{
  "formula": "NdHoHg",
  "functional": "GGA-PBE",
  "state": "optimized geometry",
  "lattice": [[3.6805, 0.0000, 0.0000], [0.0000, 3.6805, 0.0000], [-1.8403, -1.8403, 6.4421]],
  "species": ["Hg", "Ho", "Nd"],
  "fractional_positions": [[0.6759, 0.6759, 0.3519], [0.3157, 0.3157, 0.6314], [0.0084, 0.0084, 0.0167]],
  "magmom_total_mub_per_cell": 0.64,
  "density_g_cm3": 9.70,
  "sg": "I4mm",
  "formation_enthalpy_0k_ev_per_atom": -0.303,
  "dos_at_fermi_per_ev_atom": 1.2027
}

# 8
{
  "formula": "TlBiPb2",
  "functional": "GGA-PBE",
  "state": "optimized geometry",
  "lattice": [[-3.4200, -4.4548, -0.2484], [0.3321, -3.5602, -4.3380], [2.0633, -5.1736, 0.7614]],
  "species": ["Bi", "Tl", "Pb", "Pb"],
  "fractional_positions": [[0.0000, 0.0000, 0.0000], [0.5000, 0.5000, 0.5000], [0.7500, 0.7500, 0.7500], [0.2500, 0.2500, 0.2500]],
  "magmom_total_mub_per_cell": 0.00,
  "density_g_cm3": 10.94,
  "sg": "Fm-3m",
  "formation_enthalpy_0k_ev_per_atom": 0.026,
  "dos_at_fermi_per_ev_atom": 0.7278
}